{
  "formula": "TcOsS2N",
  "functional": "GGA-PBE",
  "state": "optimized geometry",
  "crystal_system": "tetragonal",
  "total_magnetization_mub_per_cell": 2.3,
  "raw_formation_energy_kj_per_mol_atoms": 114,
  "energy_ha_per_atom": -0.2372,
  "relative_energy_ev_per_atom": 0.299,
  "spacegroup": "P4/mmm, No. 123",
  "cell": [[-2.417, 0.114, -4.068], [-3.270, -2.872, 1.862], [-1.866, 2.896, 1.190]],
  "species": ["Tc", "S", "Os", "N", "S"],
  "fractional_positions": [[0.000, 0.000, 0.000], [0.000, 0.500, 0.000], [0.500, 0.500, 0.500], [0.000, 0.000, 0.500], [0.500, 0.000, 0.000]]
}